Entry 1:
Below is an optimized crystal structure of ZrAlH, with properties calculated at the GGA-PBE level.

Computed properties:
excess energy over the best structure of this formula in the dataset	0.97	eV per formula unit
Fermi-level density of states	1.26	states/eV/cell
space-group type	I4mm, No. 107
magnetic moment	0.0	μB per cell
E	-16.10	eV for the cell shown

Lattice parameters (Å, degrees): 5.6059 5.6059 5.6059 149.62 149.62 43.49
Atoms (fractional coordinates):
Zr  0.0000  0.0000  0.0000
Al  0.2850  0.2850  0.0000
H  0.5479  0.5479  0.0000



Entry 2:
Below is an optimized crystal structure of Zr3AlH2, with properties calculated at the GGA-PBE level.

Computed properties:
Fermi-level density of states	8.82	states/eV/cell
space-group type	C2/m, No. 12
magnetic moment	0.0	μB per cell
E	-75.35	eV for the cell shown

Lattice parameters (Å, degrees): 11.2770 11.2770 5.6466 104.26 104.26 15.69
Atoms (fractional coordinates):
Zr  0.0339  0.0339  0.2756
Zr  0.2377  0.2377  0.7446
Zr  0.3947  0.3947  0.1469
Zr  0.6053  0.6053  0.8531
Zr  0.7623  0.7623  0.2554
Zr  0.9661  0.9661  0.7244
Al  0.3533  0.3533  0.6132
Al  0.6467  0.6467  0.3868
H  0.0526  0.0526  0.6569
H  0.2980  0.2980  0.0879
H  0.7020  0.7020  0.9121
H  0.9474  0.9474  0.3431



Copy entry 1 word for word.
Below is an optimized crystal structure of ZrAlH, with properties calculated at the GGA-PBE level.

Computed properties:
excess energy over the best structure of this formula in the dataset	0.97	eV per formula unit
Fermi-level density of states	1.26	states/eV/cell
space-group type	I4mm, No. 107
magnetic moment	0.0	μB per cell
E	-16.10	eV for the cell shown

Lattice parameters (Å, degrees): 5.6059 5.6059 5.6059 149.62 149.62 43.49
Atoms (fractional coordinates):
Zr  0.0000  0.0000  0.0000
Al  0.2850  0.2850  0.0000
H  0.5479  0.5479  0.0000



Q: Which of these has the lowest Fermi-level density of states?
A: ZrAlH